Entry 1:
A plane-wave DFT calculation with GGA-PBE was carried out for Cs2CdPbAu after structural relaxation.

Cell: 7.0255 7.0255 5.4999 Å, 90.00 90.00 90.00°
Atoms (fractional coordinates):
Pb1 0.0000 0.0000 0.5000
Cs1 0.0000 0.5000 0.0000
Cs2 0.5000 0.0000 0.0000
Au1 0.0000 0.0000 0.0000
Cd1 0.5000 0.5000 0.5000

Calculated values
Its energy relative to the elements is -0.01 eV per atom. As for the space group: P4/mmm, No. 123. The total energy comes out at -0.0709 Ha/atom. As for the crystal system: tetragonal.

=====

Entry 2:
A plane-wave DFT calculation with GGA-PBE was carried out for Pu2Th3Te8 after structural relaxation.

Cell: 7.6368 8.9712 9.1183 Å, 119.47 106.06 90.00°
Atoms (fractional coordinates):
Pu1 0.3365 0.2500 0.5000
Pu2 0.6635 0.7500 0.5000
Th1 0.5000 0.0000 0.0000
Th2 0.0000 0.2579 0.0000
Th3 0.0000 0.7421 0.0000
Te1 0.9071 0.6172 0.2344
Te2 0.0929 0.3828 0.7657
Te3 0.9148 0.1209 0.2418
Te4 0.0852 0.8791 0.7582
Te5 0.5838 0.6322 0.7589
Te6 0.5838 0.1266 0.7589
Te7 0.4162 0.8734 0.2411
Te8 0.4162 0.3678 0.2411

Calculated values
The uncorrected formation energy comes out at -1.044 eV/atom. As for the space group: C2/m, No. 12. The total energy comes out at -0.2534 Ha/atom. As for the crystal system: monoclinic.

=====

Entry 3:
A plane-wave DFT calculation with GGA-PBE was carried out for CaCdSi after structural relaxation.

Cell: 5.7449 5.6319 5.7458 Å, 60.67 118.68 119.34°
Atoms (fractional coordinates):
Ca1 0.0193 0.4224 0.3738
Ca2 0.2620 0.1648 0.1311
Si1 0.6736 0.7960 0.2815
Si2 0.1115 0.7960 0.7193
Cd1 0.6271 0.2789 0.7660
Cd2 0.6267 0.7812 0.7665

Calculated values
The uncorrected formation energy comes out at -0.211 eV/atom. As for the space group: Imm2, No. 44. The total energy comes out at -0.1099 Ha/atom. As for the crystal system: orthorhombic.

=====

Entry 4:
A plane-wave DFT calculation with GGA-PBE was carried out for La4Sm2Dy3 after structural relaxation.

Cell: 3.6966 6.8043 14.7663 Å, 64.15 90.00 105.76°
Atoms (fractional coordinates):
La1 0.6467 0.2935 0.1275
La2 0.1122 0.2244 0.6056
La3 0.8878 0.7756 0.3944
La4 0.3533 0.7065 0.8725
Sm1 0.3370 0.6740 0.2094
Sm2 0.6630 0.3260 0.7906
Dy1 0.3830 0.7660 0.6109
Dy2 0.0000 0.0000 0.0000
Dy3 0.6170 0.2340 0.3891

Calculated values
Its energy relative to the elements is 0.08 eV per atom. The energy relative to the lowest polymorph listed for this composition comes out at 58 meV/atom. As for the space group: C2/m, No. 12. The total energy comes out at -0.1723 Ha/atom. As for the crystal system: monoclinic.

=====

Entry 5:
A plane-wave DFT calculation with GGA-PBE was carried out for Hg3AuN after structural relaxation.

Cell: 6.8948 6.8717 7.0661 Å, 88.13 107.66 49.46°
Atoms (fractional coordinates):
Hg1 0.9185 0.3155 0.0818
Hg2 0.2171 0.9171 0.7188
Hg3 0.5224 0.2395 0.7790
Hg4 0.4427 0.6633 0.2740
Hg5 0.8202 0.9179 0.3380
Hg6 0.0587 0.5747 0.9714
Au1 0.9869 0.4132 0.5186
Au2 0.5278 0.9379 0.5347
N1 0.3815 0.5636 0.9340
N2 0.9648 0.9564 0.1221

Calculated values
The uncorrected formation energy comes out at 0.595 eV/atom. The energy relative to the lowest polymorph listed for this composition comes out at 0 meV/atom. As for the space group: P1, No. 1. The total energy comes out at -0.0701 Ha/atom. As for the crystal system: triclinic.

=====

Entry 6:
A plane-wave DFT calculation with GGA-PBE was carried out for TbPaTc2 after structural relaxation.

Cell: 3.4235 3.4235 6.9893 Å, 90.00 90.00 90.00°
Atoms (fractional coordinates):
Pa1 0.5000 0.5000 0.0000
Tb1 0.5000 0.5000 0.5000
Tc1 0.0000 0.0000 0.7818
Tc2 0.0000 0.0000 0.2182

Calculated values
Its energy relative to the elements is -0.20 eV per atom. The energy relative to the lowest polymorph listed for this composition comes out at 0 meV/atom. As for the space group: P4/mmm, No. 123. The total energy comes out at -0.3274 Ha/atom. As for the crystal system: tetragonal.

=====

Entry 7:
A plane-wave DFT calculation with GGA-PBE was carried out for LaHo12In3 after structural relaxation.

Cell: 4.8442 4.8442 19.8698 Å, 90.00 90.00 90.00°
Atoms (fractional coordinates):
La1 0.0000 0.0000 0.0000
Ho1 0.5000 0.5000 0.0000
Ho2 0.5000 0.5000 0.2578
Ho3 0.5000 0.5000 0.5000
Ho4 0.5000 0.5000 0.7422
Ho5 0.5000 0.0000 0.1344
Ho6 0.5000 0.0000 0.3784
Ho7 0.5000 0.0000 0.6216
Ho8 0.5000 0.0000 0.8656
Ho9 0.0000 0.5000 0.1344
Ho10 0.0000 0.5000 0.3784
Ho11 0.0000 0.5000 0.6216
Ho12 0.0000 0.5000 0.8656
In1 0.0000 0.0000 0.2580
In2 0.0000 0.0000 0.5000
In3 0.0000 0.0000 0.7420

Calculated values
Its energy relative to the elements is -0.18 eV per atom. As for the space group: P4/mmm, No. 123. The total energy comes out at -0.1629 Ha/atom. As for the crystal system: tetragonal.

=====

Entry 8:
A plane-wave DFT calculation with GGA-PBE was carried out for Rb2PSCl6 after structural relaxation.

Cell: 7.7604 7.7604 7.1265 Å, 57.01 57.01 90.00°
Atoms (fractional coordinates):
P1 0.5000 0.5000 0.0000
S1 0.0000 0.0000 0.0000
Rb1 0.7500 0.2500 0.5000
Rb2 0.2500 0.7500 0.5000
Cl1 0.2514 0.2514 0.4973
Cl2 0.7486 0.7486 0.5027
Cl3 0.2842 0.2842 0.0000
Cl4 0.7158 0.7158 0.0000
Cl5 0.7158 0.2842 0.0000
Cl6 0.2842 0.7158 0.0000

Calculated values
The uncorrected formation energy comes out at -0.824 eV/atom. As for the space group: I4/mmm, No. 139. The total energy comes out at -0.1132 Ha/atom. As for the crystal system: tetragonal.